No. 1
## ScAsAu3 (PBE-GGA)

Data for ScAsAu3 after structural relaxation.

Lattice parameters (Å, degrees): 5.077 5.077 5.077 90.00 90.00 90.00
Sites, in units of the cell vectors:
1 Au 0.000 0.500 0.000
2 Au 0.500 0.000 0.000
3 Au 0.000 0.000 0.500
4 Sc 0.000 0.000 0.000
5 As 0.500 0.500 0.500

Results
Its total energy is -3.449 eV per atom. The formation energy comes out at 0.714 eV/atom.

---

No. 2
## ScAsAu3 (PBE-GGA)

Data for ScAsAu3 after structural relaxation.

Lattice parameters (Å, degrees): 4.886 4.886 4.886 90.00 90.00 90.00
Sites, in units of the cell vectors:
1 Au 0.000 0.500 0.000
2 Au 0.500 0.000 0.000
3 Au 0.000 0.000 0.500
4 As 0.000 0.000 0.000
5 Sc 0.500 0.500 0.500

Results
Its total energy is -3.978 eV per atom. The formation energy comes out at 0.185 eV/atom.

---

No. 3
## ScAsAu (PBE-GGA)

Data for ScAsAu after structural relaxation.

Lattice parameters (Å, degrees): 4.593 4.593 7.465 72.08 72.08 60.00
Sites, in units of the cell vectors:
1 Sc 0.588 0.588 0.236
2 Sc 0.412 0.412 0.764
3 Au 0.139 0.139 0.582
4 Au 0.861 0.861 0.418
5 As 0.722 0.722 0.835
6 As 0.278 0.278 0.165

Results
Its total energy is -5.311 eV per atom. The formation energy comes out at -0.558 eV/atom.